(1)
! CdTc2Ir (PBE-GGA, relaxed); values from VASP
&SYSTEM
  ibrav = 0, nat = 4, ntyp = 3
/
ATOMIC_SPECIES
Cd 112.41 Cd.upf
Ir 192.22 Ir.upf
Tc 98.00 Tc.upf
ATOMIC_POSITIONS angstrom
Cd 6.9030 1.0192 0.5970
Ir 20.7090 3.0577 1.7910
Tc 0.1684 0.0249 0.0146
Tc 13.6376 2.0136 1.1794
CELL_PARAMETERS angstrom
9.4756 -0.0107 -0.0063
9.0682 2.7487 -0.0063
9.0682 1.3389 2.4005
! Density of states at the Fermi level, states/eV per cell: 3.825
! Volume, Å³/atom: 15.7
! Calculated formation energy, eV/atom: 0.1849
! Density, g cm⁻³: 13.2
! Crystal system: trigonal
! VASP energy, eV/atom: -7.442

=====

(2)
! KSr (PBE-GGA, relaxed); values from VASP
&SYSTEM
  ibrav = 0, nat = 4, ntyp = 2
/
ATOMIC_SPECIES
Sr 87.62 Sr.upf
K 39.10 K.upf
ATOMIC_POSITIONS angstrom
Sr 0.0000 0.0000 7.6487
Sr 2.1842 1.2611 11.0631
K 0.0000 0.0000 14.8490
K 2.1842 1.2611 3.8628
CELL_PARAMETERS angstrom
4.3684 0.0000 0.0000
-2.1842 3.7832 0.0000
0.0000 0.0000 14.9694
! Density of states at the Fermi level, states/eV per cell: 3.309
! Volume, Å³/atom: 61.8
! Calculated formation energy, eV/atom: 0.0477
! Density, g cm⁻³: 1.7
! Crystal system: trigonal
! VASP energy, eV/atom: -1.342